Entry from the Open Quantum Materials Database: an optimized crystal structure of DySiHO4 (GGA-PBE).

Results
* E: -51.74 eV per formula unit

Unit cell a=12.933 b=15.612 c=4.339 alpha=90.00 beta=90.00 gamma=90.00
Element x y z (fractional)
Dy: 0.067 0.098 0.152
Dy: 0.067 0.402 0.152
Dy: 0.111 0.750 0.293
Dy: 0.389 0.250 0.793
Dy: 0.433 0.598 0.652
Dy: 0.433 0.902 0.652
Dy: 0.567 0.098 0.348
Dy: 0.567 0.402 0.348
Dy: 0.611 0.750 0.207
Dy: 0.889 0.250 0.707
Dy: 0.933 0.598 0.848
Dy: 0.933 0.902 0.848
Si: 0.120 0.250 0.728
Si: 0.159 0.587 0.716
Si: 0.159 0.913 0.716
Si: 0.341 0.087 0.216
Si: 0.341 0.413 0.216
Si: 0.380 0.750 0.228
Si: 0.620 0.250 0.772
Si: 0.659 0.587 0.784
Si: 0.659 0.913 0.784
Si: 0.841 0.087 0.284
Si: 0.841 0.413 0.284
Si: 0.880 0.750 0.272
H: 0.212 0.250 0.325
H: 0.250 0.086 0.629
H: 0.250 0.414 0.629
H: 0.250 0.586 0.129
H: 0.250 0.914 0.129
H: 0.288 0.750 0.825
H: 0.712 0.250 0.175
H: 0.750 0.086 0.871
H: 0.750 0.414 0.871
H: 0.750 0.586 0.371
H: 0.750 0.914 0.371
H: 0.788 0.750 0.675
O: 0.051 0.165 0.657
O: 0.051 0.335 0.657
O: 0.077 0.508 0.777
O: 0.077 0.992 0.777
O: 0.088 0.668 0.837
O: 0.088 0.832 0.837
O: 0.133 0.250 0.099
O: 0.192 0.617 0.373
O: 0.192 0.883 0.373
O: 0.228 0.071 0.395
O: 0.228 0.429 0.395
O: 0.233 0.250 0.557
O: 0.267 0.750 0.057
O: 0.272 0.571 0.895
O: 0.272 0.929 0.895
O: 0.308 0.117 0.873
O: 0.308 0.383 0.873
O: 0.367 0.750 0.599
O: 0.412 0.168 0.337
O: 0.412 0.332 0.337
O: 0.423 0.008 0.277
O: 0.423 0.492 0.277
O: 0.449 0.665 0.157
O: 0.449 0.835 0.157
O: 0.551 0.165 0.843
O: 0.551 0.335 0.843
O: 0.577 0.508 0.723
O: 0.577 0.992 0.723
O: 0.588 0.668 0.663
O: 0.588 0.832 0.663
O: 0.633 0.250 0.401
O: 0.692 0.617 0.127
O: 0.692 0.883 0.127
O: 0.728 0.071 0.105
O: 0.728 0.429 0.105
O: 0.733 0.250 0.943
O: 0.767 0.750 0.443
O: 0.772 0.571 0.605
O: 0.772 0.929 0.605
O: 0.808 0.117 0.627
O: 0.808 0.383 0.627
O: 0.867 0.750 0.901
O: 0.912 0.168 0.163
O: 0.912 0.332 0.163
O: 0.923 0.008 0.223
O: 0.923 0.492 0.223
O: 0.949 0.665 0.343
O: 0.949 0.835 0.343